[1]
Material: NbAg
Method: DFT, PBE
State: relaxed

space group = Pmn2_1
total magnetization = 0.000 μB per atom
electronic total energy = -11.975 eV/f.u.
energy of formation = 473 meV/atom

POSCAR file:
```
NbAg
1.0
12.470 0.000 0.000
0.000 2.792 0.000
0.000 0.000 6.833
Nb Ag
6 6
direct
0.000 0.194 0.000 Nb
0.117 0.779 0.292 Nb
0.383 0.221 0.792 Nb
0.500 0.806 0.500 Nb
0.617 0.221 0.792 Nb
0.883 0.779 0.292 Nb
0.000 0.274 0.595 Ag
0.179 0.721 0.790 Ag
0.321 0.279 0.290 Ag
0.500 0.726 0.095 Ag
0.679 0.279 0.290 Ag
0.821 0.721 0.790 Ag
```

[2]
Material: AlSnF5
Method: DFT, PBE
State: relaxed

space group = Immm
total magnetization = 0.000 μB per atom
electronic total energy = -37.889 eV/f.u.
ΔE_f (raw) = -2.970 eV per atom

POSCAR file:
```
AlSnF5
1.0
3.775 0.000 0.000
0.000 6.903 0.000
0.000 0.000 8.249
Al Sn F
2 2 10
direct
0.000 0.000 0.000 Al
0.500 0.500 0.500 Al
0.000 0.000 0.500 Sn
0.500 0.500 0.000 Sn
0.000 0.000 0.217 F
0.000 0.000 0.783 F
0.000 0.268 0.000 F
0.000 0.500 0.500 F
0.000 0.732 0.000 F
0.500 0.000 0.000 F
0.500 0.232 0.500 F
0.500 0.500 0.283 F
0.500 0.500 0.717 F
0.500 0.768 0.500 F
```

[3]
Material: MgNbSi2
Method: DFT, PBE
State: relaxed

space group = I-42d
total magnetization = 0.000 μB per atom
electronic total energy = -21.402 eV/f.u.
ΔE_f (raw) = 0.277 eV per atom

POSCAR file:
```
MgNbSi2
1.0
7.116 0.000 0.000
0.000 7.116 0.000
0.000 0.000 5.603
Mg Nb Si
4 4 8
direct
0.000 0.000 0.000 Mg
0.000 0.500 0.250 Mg
0.500 0.000 0.750 Mg
0.500 0.500 0.500 Mg
0.000 0.000 0.500 Nb
0.000 0.500 0.750 Nb
0.500 0.000 0.250 Nb
0.500 0.500 0.000 Nb
0.243 0.250 0.625 Si
0.250 0.743 0.875 Si
0.250 0.757 0.375 Si
0.257 0.250 0.125 Si
0.743 0.750 0.125 Si
0.750 0.243 0.375 Si
0.750 0.257 0.875 Si
0.757 0.750 0.625 Si
```

[4]
Material: NiC
Method: DFT, PBE
State: relaxed

space group = Cmme
total magnetization = 0.000 μB per atom
electronic total energy = -13.366 eV/f.u.
energy of formation = 820 meV/atom

POSCAR file:
```
NiC
1.0
2.498 0.000 0.000
0.000 5.295 0.000
0.000 0.000 5.879
Ni C
4 4
direct
0.000 0.250 0.175 Ni
0.000 0.750 0.825 Ni
0.500 0.250 0.825 Ni
0.500 0.750 0.175 Ni
0.000 0.250 0.550 C
0.000 0.750 0.450 C
0.500 0.250 0.450 C
0.500 0.750 0.550 C
```

[5]
Material: AsS2BrO8
Method: DFT, PBE
State: relaxed

space group = C2/m
total magnetization = 0.000 μB per atom
electronic total energy = -65.468 eV/f.u.
ΔE_f (raw) = -0.935 eV per atom

POSCAR file:
```
AsS2BrO8
1.0
4.577 -2.685 0.000
4.577 2.685 0.000
-2.178 0.000 8.304
As S Br O
1 2 1 8
direct
0.000 0.000 0.000 As
0.298 0.298 0.795 S
0.702 0.702 0.205 S
0.000 0.000 0.500 Br
0.169 0.621 0.830 O
0.185 0.185 0.892 O
0.228 0.228 0.617 O
0.379 0.831 0.170 O
0.621 0.169 0.830 O
0.772 0.772 0.383 O
0.815 0.815 0.108 O
0.831 0.379 0.170 O
```

[6]
Material: Tb3MgPd
Method: DFT, PBE
State: relaxed

space group = Pmn2_1
total magnetization = 0.000 μB per atom
electronic total energy = -22.226 eV/f.u.
energy of formation = -310 meV/atom

POSCAR file:
```
Tb3MgPd
1.0
4.993 0.000 0.000
0.000 6.672 0.000
0.000 0.000 8.096
Tb Mg Pd
6 2 2
direct
0.000 0.200 0.000 Tb
0.000 0.201 0.407 Tb
0.000 0.722 0.204 Tb
0.500 0.278 0.704 Tb
0.500 0.799 0.907 Tb
0.500 0.800 0.500 Tb
0.000 0.586 0.703 Mg
0.500 0.414 0.203 Mg
0.000 0.990 0.703 Pd
0.500 0.010 0.203 Pd
```

[7]
Material: HgBi2Pd4
Method: DFT, PBE
State: relaxed

space group = R-3m
total magnetization = 0.000 μB per atom
electronic total energy = -29.697 eV/f.u.
energy of formation = -123 meV/atom

POSCAR file:
```
HgBi2Pd4
1.0
2.332 1.346 7.813
-2.332 1.346 7.813
0.000 -2.692 7.813
Hg Bi Pd
1 2 4
direct
0.000 0.000 0.000 Hg
0.241 0.241 0.241 Bi
0.759 0.759 0.759 Bi
0.123 0.123 0.123 Pd
0.374 0.374 0.374 Pd
0.626 0.626 0.626 Pd
0.877 0.877 0.877 Pd
```

[8]
Material: GaNi2H
Method: DFT, PBE
State: relaxed

space group = I-42d
total magnetization = 0.000 μB per atom
polymorph energy (0 for the lowest one) = 0.00 eV/f.u.
electronic total energy = -18.659 eV/f.u.

POSCAR file:
```
GaNi2H
1.0
5.504 0.000 0.000
0.000 5.504 0.000
0.000 0.000 5.200
Ga Ni H
4 8 4
direct
0.000 0.000 0.000 Ga
0.000 0.500 0.250 Ga
0.500 0.000 0.750 Ga
0.500 0.500 0.500 Ga
0.144 0.250 0.625 Ni
0.250 0.644 0.875 Ni
0.250 0.856 0.375 Ni
0.356 0.250 0.125 Ni
0.644 0.750 0.125 Ni
0.750 0.144 0.375 Ni
0.750 0.356 0.875 Ni
0.856 0.750 0.625 Ni
0.000 0.000 0.500 H
0.000 0.500 0.750 H
0.500 0.000 0.250 H
0.500 0.500 0.000 H
```

[9]
Material: Sr2Li2Tl3
Method: DFT, PBE
State: relaxed

space group = C2/m
total magnetization = 0.000 μB per atom
polymorph energy (0 for the lowest one) = 0.04 eV/f.u.
electronic total energy = -16.252 eV/f.u.
energy of formation = -280 meV/atom

POSCAR file:
```
Sr2Li2Tl3
1.0
11.665 0.000 0.000
0.000 4.754 0.000
-3.898 0.000 7.247
Sr Li Tl
4 4 6
direct
0.140 0.000 0.267 Sr
0.360 0.500 0.733 Sr
0.640 0.500 0.267 Sr
0.860 0.000 0.733 Sr
0.128 0.000 0.705 Li
0.372 0.500 0.295 Li
0.628 0.500 0.705 Li
0.872 0.000 0.295 Li
0.000 0.500 0.500 Tl
0.133 0.500 0.945 Tl
0.367 0.000 0.055 Tl
0.500 0.000 0.500 Tl
0.633 0.000 0.945 Tl
0.867 0.500 0.055 Tl
```

[10]
Material: DyMgSb2
Method: DFT, PBE
State: relaxed

space group = R3m
total magnetization = 0.000 μB per atom
polymorph energy (0 for the lowest one) = 0.21 eV/f.u.
electronic total energy = -16.796 eV/f.u.
ΔE_f (raw) = -0.589 eV per atom

POSCAR file:
```
DyMgSb2
1.0
4.453 0.000 0.000
-2.226 3.856 0.000
0.000 0.000 20.101
Dy Mg Sb
3 3 6
direct
0.000 0.000 0.000 Dy
0.333 0.667 0.667 Dy
0.667 0.333 0.333 Dy
0.000 0.000 0.828 Mg
0.333 0.667 0.495 Mg
0.667 0.333 0.162 Mg
0.000 0.000 0.418 Sb
0.000 0.000 0.580 Sb
0.333 0.667 0.085 Sb
0.333 0.667 0.247 Sb
0.667 0.333 0.752 Sb
0.667 0.333 0.914 Sb
```

[11]
Material: Ca2AlGe4Au3
Method: DFT, PBE
State: relaxed

space group = P-4m2
total magnetization = 0.000 μB per atom
electronic total energy = -40.597 eV/f.u.
energy of formation = -455 meV/atom

POSCAR file:
```
Ca2AlGe4Au3
1.0
4.220 0.000 0.000
0.000 4.220 0.000
0.000 0.000 11.626
Ca Al Ge Au
2 1 4 3
direct
0.000 0.500 0.247 Ca
0.500 0.000 0.753 Ca
0.500 0.500 0.000 Al
0.000 0.000 0.500 Ge
0.000 0.500 0.861 Ge
0.500 0.000 0.139 Ge
0.500 0.500 0.500 Ge
0.000 0.000 0.000 Au
0.000 0.500 0.645 Au
0.500 0.000 0.355 Au
```

[12]
Material: NaLiAlSn
Method: DFT, PBE
State: relaxed

space group = F-43m
total magnetization = 0.000 μB per atom
electronic total energy = -11.220 eV/f.u.
energy of formation = -60 meV/atom

POSCAR file:
```
NaLiAlSn
1.0
7.029 0.000 0.000
0.000 7.029 0.000
0.000 0.000 7.029
Na Li Al Sn
4 4 4 4
direct
0.000 0.000 0.000 Na
0.000 0.500 0.500 Na
0.500 0.000 0.500 Na
0.500 0.500 0.000 Na
0.250 0.250 0.750 Li
0.250 0.750 0.250 Li
0.750 0.250 0.250 Li
0.750 0.750 0.750 Li
0.250 0.250 0.250 Al
0.250 0.750 0.750 Al
0.750 0.250 0.750 Al
0.750 0.750 0.250 Al
0.000 0.000 0.500 Sn
0.000 0.500 0.000 Sn
0.500 0.000 0.000 Sn
0.500 0.500 0.500 Sn
```

electronic total energy of number 2 (AlSnF5)?
-37.889 eV/f.u.